P) PaH | PBE-GGA | relaxed

extended XYZ file:
```
2
Lattice="3.185 0.000 0.000 -1.592 2.758 0.000 0.000 0.000 3.214" Properties=species:S:1:pos:R:3 pbc="T T T"
Pa 0.000 0.000 0.000
H 0.000 1.839 1.607
```


Q) PaH | PBE-GGA | relaxed

extended XYZ file:
```
2
Lattice="0.000 2.526 2.526 2.526 0.000 2.526 2.526 2.526 0.000" Properties=species:S:1:pos:R:3 pbc="T T T"
Pa 0.000 0.000 0.000
H 1.263 1.263 1.263
```


R) PaH | PBE-GGA | relaxed

extended XYZ file:
```
2
Lattice="0.000 2.449 2.449 2.449 0.000 2.449 2.449 2.449 0.000" Properties=species:S:1:pos:R:3 pbc="T T T"
Pa 0.000 0.000 0.000
H 2.449 2.449 2.449
```


R) comes first in stability; the runner-up is 0.104 eV/atom higher.


P) HPd | PBE-GGA | relaxed

extended XYZ file:
```
2
Lattice="0.000 2.056 2.056 2.056 0.000 2.056 2.056 2.056 0.000" Properties=species:S:1:pos:R:3 pbc="T T T"
H 0.000 0.000 0.000
Pd 2.056 2.056 2.056
```


Q) HPd | PBE-GGA | relaxed

extended XYZ file:
```
4
Lattice="2.896 0.000 0.000 0.000 2.896 0.000 0.000 0.000 4.498" Properties=species:S:1:pos:R:3 pbc="T T T"
H 0.000 0.000 1.124
H 0.000 0.000 3.373
Pd 0.000 1.448 0.000
Pd 1.448 0.000 2.249
```


Q) comes first in stability; the runner-up is 0.021 eV/atom higher.